Record 1
The following is a GGA-PBE calculation of a geometry-optimized TaMoIr2 structure, from Alexandria via LeMat-Bulk.

Structure (POSCAR):
```
TaMoIr2
1.0
-0.045 2.740 -4.044
-0.334 0.077 -4.873
-4.767 0.660 -0.457
Mo Ir Ta
1 2 1
Direct
0.750 0.750 0.750
0.499 0.499 0.507
0.001 0.001 0.993
0.250 0.250 0.250
```

Output
E, eV/atom: -10.33
Polymorph energy (0 for the lowest one), meV/atom: 238
Space-group type: C2/m, No. 12
Magnetization, μB/f.u.: 0.00

***

Record 2
The following is a GGA-PBE calculation of a geometry-optimized TaMoIr2 structure, from Alexandria via LeMat-Bulk.

Structure (POSCAR):
```
TaMoIr2
1.0
-3.573 8.268 -2.734
-4.807 8.090 -0.214
-2.208 9.140 -0.435
Ir Ta Mo
2 1 1
Direct
0.000 0.000 0.000
0.248 0.248 0.248
0.747 0.747 0.747
0.505 0.505 0.505
```

Output
E, eV/atom: -10.16
Polymorph energy (0 for the lowest one), meV/atom: 405
Space-group type: R3m, No. 160
Magnetization, μB/f.u.: 0.00

***

Record 3
The following is a GGA-PBE calculation of a geometry-optimized Ta2MoIr structure, from Alexandria via LeMat-Bulk.

Structure (POSCAR):
```
Ta2MoIr
1.0
-2.198 1.387 2.084
-3.352 -1.746 -2.373
0.105 -3.663 2.548
Ta Ir Mo
2 1 1
Direct
0.000 0.000 0.500
0.000 0.500 0.000
0.500 0.500 0.500
0.500 0.000 0.000
```

Output
E, eV/atom: -11.25
Space-group type: P4/mmm, No. 123
Magnetization, μB/f.u.: 0.00

***

Record 4
The following is a GGA-PBE calculation of a geometry-optimized Ta3Mo2Ir structure, from Alexandria via LeMat-Bulk.

Structure (POSCAR):
```
Ta3Mo2Ir
1.0
3.242 0.000 0.000
0.000 3.242 0.000
0.000 0.000 9.555
Ir Ta Mo
1 3 2
Direct
0.500 0.500 0.500
0.000 0.000 0.331
0.000 0.000 0.000
0.000 0.000 0.669
0.500 0.500 0.829
0.500 0.500 0.171
```

Output
E, eV/atom: -11.35
Space-group type: P4/mmm, No. 123
Magnetization, μB/f.u.: 0.00

***

Record 5
The following is a GGA-PBE calculation of a geometry-optimized Ta2MoIr structure, from Alexandria via LeMat-Bulk.

Structure (POSCAR):
```
Ta2MoIr
1.0
-1.412 3.580 2.404
-0.844 -0.437 4.437
2.767 1.928 3.037
Mo Ta Ir
1 2 1
Direct
0.250 0.250 0.250
0.750 0.750 0.750
0.000 0.000 0.000
0.500 0.500 0.500
```

Output
E, eV/atom: -10.99
Space-group type: F-43m, No. 216
Magnetization, μB/f.u.: 0.00

***

Record 6
The following is a GGA-PBE calculation of a geometry-optimized TaMo4Ir structure, from Alexandria via LeMat-Bulk.

Structure (POSCAR):
```
TaMo4Ir
1.0
-4.346 -0.249 2.826
-2.739 4.309 0.934
-4.616 0.685 -2.272
Mo Ta Ir
4 1 1
Direct
0.870 0.377 0.377
0.377 0.870 0.377
0.377 0.377 0.870
0.377 0.377 0.377
0.750 0.750 0.750
0.000 0.000 0.000
```

Output
E, eV/atom: -10.50
Space-group type: F-43m, No. 216
Magnetization, μB/f.u.: 0.00

***

no.,energy relative to the elements (eV/atom)
1,-0.23
2,-0.06
3,-0.40
4,-0.33
5,-0.14
6,0.17